# CdBi2Pd2 PBE optimized geometry
# magnetization: 0.00 μB/f.u.
# crystal system: tetragonal
# theoretical density: 10.98 Mg/m³
# E_form: -0.2213 eV/atom
# offset from the most stable computed form: 36 meV per atom
# D(E_F): 0.565 states/eV/atom
data_CdBi2Pd2
_space_group_name_H-M_alt 'P 4/m b m'
_space_group_IT_number 127
_space_group_name_Hall '-P 4 2ab'
_cell_length_a 7.391
_cell_length_b 7.391
_cell_length_c 4.115
_cell_angle_alpha 90.00
_cell_angle_beta 90.00
_cell_angle_gamma 90.00
loop_
_atom_site_label
_atom_site_type_symbol
_atom_site_fract_x
_atom_site_fract_y
_atom_site_fract_z
_atom_site_occupancy
Cd1 Cd 0.000 0.000 0.000 1
Bi1 Bi 0.161 0.339 0.500 1
Pd1 Pd 0.138 0.638 0.000 1



# TiTc3O PBE optimized geometry
# magnetization: 0.00 μB/f.u.
# crystal system: cubic
# theoretical density: 8.77 Mg/m³
# offset from the most stable computed form: 0 meV per atom
# D(E_F): 1.367 states/eV/atom
# formation energy from raw total energies: -0.203 eV/atom
data_TiTc3O
_space_group_name_H-M_alt 'P m -3 m'
_space_group_IT_number 221
_space_group_name_Hall '-P 4 2 3'
_cell_length_a 4.077
_cell_length_b 4.077
_cell_length_c 4.077
_cell_angle_alpha 90.00
_cell_angle_beta 90.00
_cell_angle_gamma 90.00
loop_
_atom_site_label
_atom_site_type_symbol
_atom_site_fract_x
_atom_site_fract_y
_atom_site_fract_z
_atom_site_occupancy
Ti1 Ti 0.000 0.000 0.000 1
Tc1 Tc 0.000 0.500 0.500 1
O1 O 0.500 0.500 0.500 1